Material: InTcMo
Method: DFT, PBE
State: optimized geometry

CIF file:
```
data_InTcMo
_cell_length_a 3.161
_cell_length_b 3.161
_cell_length_c 10.213
_cell_angle_alpha 90.00
_cell_angle_beta 90.00
_cell_angle_gamma 90.00
_space_group_name_H-M_alt 'I 4 m m'
_space_group_IT_number 107
_space_group_name_Hall 'I 4 -2'
loop_
_atom_site_label
_atom_site_type_symbol
_atom_site_fract_x
_atom_site_fract_y
_atom_site_fract_z
In1 In 0.000 0.000 0.000
Tc1 Tc 0.000 0.000 0.679
Mo1 Mo 0.000 0.000 0.314
```

Output
The excess energy over the best structure of this formula in the dataset comes out at 0.000 eV per atom. The value obtained for the volume is 17.01 Å³ per atom. Its energy is -7.88 eV per atom. The calculation puts the energy of formation at 0.098 eV per atom. The value obtained for the total magnetization is 0.00 μB per cell.